Entry from Alexandria: a relaxed Cr2CuPb crystal (GGA-PBE).

Values from the calculation:
total magnetization: 7.2 μB per formula unit
energy of formation: 584.9 meV/atom
symmetry: P4/mmm, No. 123

Cell and atoms, written as CIF:
```
data_Cr2CuPb
_chemical_formula_sum 'Cr2 Cu1 Pb1'
_cell_length_a 4.2132
_cell_length_b 4.2090
_cell_length_c 3.8701
_cell_angle_alpha 90.00
_cell_angle_beta 90.00
_cell_angle_gamma 90.00
_symmetry_space_group_name_H-M 'P 1'
_symmetry_Int_Tables_number 1
_symmetry_space_group_name_Hall 'P 1'
loop_
_atom_site_label
_atom_site_type_symbol
_atom_site_fract_x
_atom_site_fract_y
_atom_site_fract_z
Cr1 Cr 0.0000 0.0000 0.0000
Cr2 Cr 0.5000 0.5000 0.0000
Cu1 Cu 0.5000 0.0000 0.5000
Pb1 Pb 0.0000 0.5000 0.5000
```